(1)
# NbTe2AuI | Alexandria | PBE | optimized geometry
# Distance to the lowest polymorph of the same formula in meV per atom: 0.0
# Magnetization in μB/atom: 0.000
# DOS(E_F) in states/eV/cell: 3.85
data_NbTe2AuI
_chemical_formula_sum 'Nb1 Te2 Au1 I1'
_cell_length_a 5.360
_cell_length_b 5.360
_cell_length_c 5.653
_cell_angle_alpha 90.00
_cell_angle_beta 90.00
_cell_angle_gamma 90.00
_space_group_name_H-M_alt 'P 1'
_space_group_IT_number 1
_space_group_name_Hall 'P 1'
loop_
_atom_site_label
_atom_site_fract_x
_atom_site_fract_y
_atom_site_fract_z
_atom_site_occupancy
I1 0.000 0.000 0.500 1
Te1 0.000 0.500 0.000 1
Te2 0.500 0.000 0.000 1
Au1 0.500 0.500 0.500 1
Nb1 0.000 0.000 0.000 1

(2)
# NbTeAuI | Alexandria | PBE | optimized geometry
# Distance to the lowest polymorph of the same formula in meV per atom: 30.5
# Magnetization in μB/atom: 0.000
# DOS(E_F) in states/eV/cell: 6.83
data_NbTeAuI
_chemical_formula_sum 'Nb2 Te2 Au2 I2'
_cell_length_a 3.633
_cell_length_b 4.529
_cell_length_c 15.577
_cell_angle_alpha 90.00
_cell_angle_beta 103.15
_cell_angle_gamma 90.00
_space_group_name_H-M_alt 'P 1'
_space_group_IT_number 1
_space_group_name_Hall 'P 1'
loop_
_atom_site_label
_atom_site_fract_x
_atom_site_fract_y
_atom_site_fract_z
_atom_site_occupancy
Nb1 0.820 0.500 0.888 1
Nb2 0.820 0.000 0.388 1
I1 0.485 0.000 0.534 1
I2 0.485 0.500 0.034 1
Te1 0.213 0.500 0.742 1
Te2 0.213 0.000 0.242 1
Au1 0.103 0.000 0.839 1
Au2 0.103 0.500 0.339 1

(3)
# NbTe2AuI | Alexandria | PBE | optimized geometry
# Distance to the lowest polymorph of the same formula in meV per atom: 555.4
# Magnetization in μB/atom: 0.497
# DOS(E_F) in states/eV/cell: 5.63
data_NbTe2AuI
_chemical_formula_sum 'Nb1 Te2 Au1 I1'
_cell_length_a 5.452
_cell_length_b 5.452
_cell_length_c 5.426
_cell_angle_alpha 90.00
_cell_angle_beta 90.00
_cell_angle_gamma 90.00
_space_group_name_H-M_alt 'P 1'
_space_group_IT_number 1
_space_group_name_Hall 'P 1'
loop_
_atom_site_label
_atom_site_fract_x
_atom_site_fract_y
_atom_site_fract_z
_atom_site_occupancy
Nb1 0.500 0.500 0.500 1
Te1 0.000 0.500 0.000 1
Te2 0.500 0.000 0.000 1
I1 0.000 0.000 0.500 1
Au1 0.000 0.000 0.000 1

(4)
# NbTeAuI | Alexandria | PBE | optimized geometry
# Distance to the lowest polymorph of the same formula in meV per atom: 155.9
# Magnetization in μB/atom: 0.000
# DOS(E_F) in states/eV/cell: 5.13
data_NbTeAuI
_chemical_formula_sum 'Nb2 Te2 Au2 I2'
_cell_length_a 3.398
_cell_length_b 3.290
_cell_length_c 19.149
_cell_angle_alpha 90.00
_cell_angle_beta 90.00
_cell_angle_gamma 90.00
_space_group_name_H-M_alt 'P 1'
_space_group_IT_number 1
_space_group_name_Hall 'P 1'
loop_
_atom_site_label
_atom_site_fract_x
_atom_site_fract_y
_atom_site_fract_z
_atom_site_occupancy
Au1 0.500 0.000 0.639 1
Au2 0.500 0.500 0.139 1
Te1 0.500 0.000 0.459 1
Te2 0.500 0.500 0.959 1
Nb1 0.000 0.000 0.044 1
Nb2 0.000 0.500 0.544 1
I1 0.000 0.500 0.267 1
I2 0.000 0.000 0.767 1

(5)
# NbTeAuI | Alexandria | PBE | optimized geometry
# Distance to the lowest polymorph of the same formula in meV per atom: 77.6
# Magnetization in μB/atom: 0.263
# DOS(E_F) in states/eV/cell: 5.49
data_NbTeAuI
_chemical_formula_sum 'Nb2 Te2 Au2 I2'
_cell_length_a 8.743
_cell_length_b 4.051
_cell_length_c 7.013
_cell_angle_alpha 90.00
_cell_angle_beta 104.67
_cell_angle_gamma 90.00
_space_group_name_H-M_alt 'P 1'
_space_group_IT_number 1
_space_group_name_Hall 'P 1'
loop_
_atom_site_label
_atom_site_fract_x
_atom_site_fract_y
_atom_site_fract_z
_atom_site_occupancy
Au1 0.703 0.000 0.133 1
Au2 0.703 0.500 0.633 1
Te1 0.337 0.500 0.851 1
Te2 0.337 0.000 0.351 1
I1 0.913 0.500 0.365 1
I2 0.913 0.000 0.865 1
Nb1 0.538 0.000 0.747 1
Nb2 0.538 0.500 0.247 1

(6)
# NbTeAuI | Alexandria | PBE | optimized geometry
# Distance to the lowest polymorph of the same formula in meV per atom: 118.4
# Magnetization in μB/atom: 0.195
# DOS(E_F) in states/eV/cell: 1.99
data_NbTeAuI
_chemical_formula_sum 'Nb1 Te1 Au1 I1'
_cell_length_a 3.750
_cell_length_b 5.228
_cell_length_c 8.208
_cell_angle_alpha 71.37
_cell_angle_beta 89.73
_cell_angle_gamma 69.03
_space_group_name_H-M_alt 'P 1'
_space_group_IT_number 1
_space_group_name_Hall 'P 1'
loop_
_atom_site_label
_atom_site_fract_x
_atom_site_fract_y
_atom_site_fract_z
_atom_site_occupancy
Au1 0.988 0.700 0.446 1
I1 0.128 0.430 0.056 1
Nb1 0.275 0.129 0.391 1
Te1 0.722 0.229 0.617 1

(7)
# NbTeAuI | Alexandria | PBE | optimized geometry
# Distance to the lowest polymorph of the same formula in meV per atom: 0.0
# Magnetization in μB/atom: 0.000
# DOS(E_F) in states/eV/cell: 2.77
data_NbTeAuI
_chemical_formula_sum 'Nb1 Te1 Au1 I1'
_cell_length_a 3.603
_cell_length_b 5.222
_cell_length_c 7.836
_cell_angle_alpha 101.05
_cell_angle_beta 98.22
_cell_angle_gamma 109.88
_space_group_name_H-M_alt 'P 1'
_space_group_IT_number 1
_space_group_name_Hall 'P 1'
loop_
_atom_site_label
_atom_site_fract_x
_atom_site_fract_y
_atom_site_fract_z
_atom_site_occupancy
Nb1 0.776 0.736 0.637 1
Te1 0.053 0.442 0.384 1
Au1 0.440 0.115 0.556 1
I1 0.349 0.710 0.913 1

(8)
# Nb2VAuI | Alexandria | PBE | optimized geometry
# Distance to the lowest polymorph of the same formula in meV per atom: 0.0
# Magnetization in μB/atom: 0.001
# DOS(E_F) in states/eV/cell: 6.99
data_Nb2VAuI
_chemical_formula_sum 'Nb2 V1 Au1 I1'
_cell_length_a 5.087
_cell_length_b 4.778
_cell_length_c 5.087
_cell_angle_alpha 90.00
_cell_angle_beta 90.00
_cell_angle_gamma 90.00
_space_group_name_H-M_alt 'P 1'
_space_group_IT_number 1
_space_group_name_Hall 'P 1'
loop_
_atom_site_label
_atom_site_fract_x
_atom_site_fract_y
_atom_site_fract_z
_atom_site_occupancy
I1 0.500 0.500 0.500 1
Nb1 0.500 0.000 0.000 1
Nb2 0.000 0.000 0.500 1
Au1 0.000 0.000 0.000 1
V1 0.000 0.500 0.000 1

(9)
# Nb2VAuI | Alexandria | PBE | optimized geometry
# Distance to the lowest polymorph of the same formula in meV per atom: 91.2
# Magnetization in μB/atom: 0.623
# DOS(E_F) in states/eV/cell: 6.69
data_Nb2VAuI
_chemical_formula_sum 'Nb2 V1 Au1 I1'
_cell_length_a 5.016
_cell_length_b 4.801
_cell_length_c 5.016
_cell_angle_alpha 90.00
_cell_angle_beta 90.00
_cell_angle_gamma 90.00
_space_group_name_H-M_alt 'P 1'
_space_group_IT_number 1
_space_group_name_Hall 'P 1'
loop_
_atom_site_label
_atom_site_fract_x
_atom_site_fract_y
_atom_site_fract_z
_atom_site_occupancy
Nb1 0.500 0.000 0.000 1
Nb2 0.000 0.000 0.500 1
Au1 0.500 0.500 0.500 1
V1 0.000 0.500 0.000 1
I1 0.000 0.000 0.000 1

(10)
# Nd2AuI2 | Alexandria | PBE | optimized geometry
# E in eV per atom: -4.26
# Magnetization in μB/atom: 0.018
# DOS(E_F) in states/eV/cell: 4.53
data_Nd2AuI2
_chemical_formula_sum 'Nd2 Au1 I2'
_cell_length_a 4.261
_cell_length_b 4.261
_cell_length_c 12.234
_cell_angle_alpha 79.97
_cell_angle_beta 79.97
_cell_angle_gamma 60.00
_space_group_name_H-M_alt 'P 1'
_space_group_IT_number 1
_space_group_name_Hall 'P 1'
loop_
_atom_site_label
_atom_site_fract_x
_atom_site_fract_y
_atom_site_fract_z
_atom_site_occupancy
Nd1 0.383 0.383 0.851 1
Nd2 0.617 0.617 0.149 1
Au1 0.000 0.000 0.000 1
I1 0.776 0.776 0.672 1
I2 0.224 0.224 0.328 1

(11)
# Nd4Au2I5 | Alexandria | PBE | optimized geometry
# E in eV per atom: -4.00
# Magnetization in μB/atom: 0.000
# DOS(E_F) in states/eV/cell: 4.44
data_Nd4Au2I5
_chemical_formula_sum 'Nd4 Au2 I5'
_cell_length_a 4.103
_cell_length_b 8.915
_cell_length_c 15.401
_cell_angle_alpha 106.82
_cell_angle_beta 97.65
_cell_angle_gamma 90.00
_space_group_name_H-M_alt 'P 1'
_space_group_IT_number 1
_space_group_name_Hall 'P 1'
loop_
_atom_site_label
_atom_site_fract_x
_atom_site_fract_y
_atom_site_fract_z
_atom_site_occupancy
I1 0.500 0.000 0.000 1
I2 0.825 0.570 0.650 1
I3 0.825 0.080 0.650 1
I4 0.175 0.920 0.350 1
I5 0.175 0.430 0.350 1
Au1 0.452 0.452 0.904 1
Au2 0.548 0.548 0.096 1
Nd1 0.355 0.355 0.710 1
Nd2 0.645 0.645 0.290 1
Nd3 0.000 0.701 0.000 1
Nd4 0.000 0.299 0.000 1

(12)
# Nd7AuI12 | Alexandria | PBE | optimized geometry
# E in eV per atom: -4.02
# Magnetization in μB/atom: 0.000
# DOS(E_F) in states/eV/cell: 8.94
data_Nd7AuI12
_chemical_formula_sum 'Nd7 Au1 I12'
_cell_length_a 10.034
_cell_length_b 10.034
_cell_length_c 10.034
_cell_angle_alpha 107.96
_cell_angle_beta 107.96
_cell_angle_gamma 107.96
_space_group_name_H-M_alt 'P 1'
_space_group_IT_number 1
_space_group_name_Hall 'P 1'
loop_
_atom_site_label
_atom_site_fract_x
_atom_site_fract_y
_atom_site_fract_z
_atom_site_occupancy
I1 0.773 0.923 0.313 1
I2 0.395 0.477 0.156 1
I3 0.477 0.156 0.395 1
I4 0.605 0.523 0.844 1
I5 0.077 0.687 0.227 1
I6 0.923 0.313 0.773 1
I7 0.227 0.077 0.687 1
I8 0.313 0.773 0.923 1
I9 0.156 0.395 0.477 1
I10 0.687 0.227 0.077 1
I11 0.523 0.844 0.605 1
I12 0.844 0.605 0.523 1
Nd1 0.500 0.500 0.500 1
Nd2 0.678 0.887 0.959 1
Nd3 0.113 0.041 0.322 1
Nd4 0.041 0.322 0.113 1
Nd5 0.322 0.113 0.041 1
Nd6 0.959 0.678 0.887 1
Nd7 0.887 0.959 0.678 1
Au1 0.000 0.000 0.000 1